[1]
Below is crystalline LaZrRu2 at its relaxed geometry, with properties calculated at the PBE-GGA level.

The structure in CIF format:
```
data_LaZrRu2
_cell_length_a 5.4749
_cell_length_b 5.4749
_cell_length_c 5.0045
_cell_angle_alpha 75.46
_cell_angle_beta 75.46
_cell_angle_gamma 34.16
_space_group_name_H-M_alt 'P 1'
_space_group_IT_number 1
_space_group_name_Hall 'P 1'
loop_
_atom_site_label
_atom_site_type_symbol
_atom_site_fract_x
_atom_site_fract_y
_atom_site_fract_z
Ru1 Ru 0.0254 0.0254 0.9324
Ru2 Ru 0.7403 0.7403 0.7755
La1 La 0.2629 0.2629 0.2343
Zr1 Zr 0.4714 0.4714 0.5579
```



[2]
Below is crystalline TaCd2Mo at its relaxed geometry, with properties calculated at the PBE-GGA level.

The structure in CIF format:
```
data_TaCd2Mo
_cell_length_a 5.4307
_cell_length_b 5.4307
_cell_length_c 5.4307
_cell_angle_alpha 137.17
_cell_angle_beta 137.17
_cell_angle_gamma 62.17
_space_group_name_H-M_alt 'P 1'
_space_group_IT_number 1
_space_group_name_Hall 'P 1'
loop_
_atom_site_label
_atom_site_type_symbol
_atom_site_fract_x
_atom_site_fract_y
_atom_site_fract_z
Cd1 Cd 0.5000 0.5000 0.0000
Cd2 Cd 0.0000 0.0000 0.0000
Ta1 Ta 0.7500 0.2500 0.5000
Mo1 Mo 0.2500 0.7500 0.5000
```



[3]
Below is crystalline YTm8Th2 at its relaxed geometry, with properties calculated at the PBE-GGA level.

The structure in CIF format:
```
data_YTm8Th2
_cell_length_a 5.8952
_cell_length_b 8.9803
_cell_length_c 9.1548
_cell_angle_alpha 60.63
_cell_angle_beta 73.82
_cell_angle_gamma 55.38
_space_group_name_H-M_alt 'P 1'
_space_group_IT_number 1
_space_group_name_Hall 'P 1'
loop_
_atom_site_label
_atom_site_type_symbol
_atom_site_fract_x
_atom_site_fract_y
_atom_site_fract_z
Th1 Th 0.0000 0.3073 0.3853
Th2 Th 0.0000 0.6927 0.6147
Tm1 Tm 0.5000 0.2076 0.5848
Tm2 Tm 0.7048 0.5688 0.0000
Tm3 Tm 0.8186 0.0994 0.2384
Tm4 Tm 0.8186 0.3378 0.7616
Tm5 Tm 0.1814 0.6622 0.2384
Tm6 Tm 0.2952 0.4312 0.0000
Tm7 Tm 0.1814 0.9006 0.7616
Tm8 Tm 0.5000 0.7924 0.4152
Y1 Y 0.5000 0.0000 0.0000
```



[4]
Below is crystalline CaRe2Mo at its relaxed geometry, with properties calculated at the PBE-GGA level.

The structure in CIF format:
```
data_CaRe2Mo
_cell_length_a 2.8999
_cell_length_b 3.7138
_cell_length_c 7.1702
_cell_angle_alpha 90.00
_cell_angle_beta 90.00
_cell_angle_gamma 90.00
_space_group_name_H-M_alt 'P 1'
_space_group_IT_number 1
_space_group_name_Hall 'P 1'
loop_
_atom_site_label
_atom_site_type_symbol
_atom_site_fract_x
_atom_site_fract_y
_atom_site_fract_z
Re1 Re 0.0000 0.0000 0.0092
Re2 Re 0.5000 0.5000 0.1796
Ca1 Ca 0.0000 0.0000 0.4938
Mo1 Mo 0.5000 0.5000 0.8173
```



[5]
Below is crystalline InHgRh at its relaxed geometry, with properties calculated at the PBE-GGA level.

The structure in CIF format:
```
data_InHgRh
_cell_length_a 6.3584
_cell_length_b 6.3584
_cell_length_c 6.3584
_cell_angle_alpha 151.29
_cell_angle_beta 151.29
_cell_angle_gamma 41.05
_space_group_name_H-M_alt 'P 1'
_space_group_IT_number 1
_space_group_name_Hall 'P 1'
loop_
_atom_site_label
_atom_site_type_symbol
_atom_site_fract_x
_atom_site_fract_y
_atom_site_fract_z
Hg1 Hg 0.9835 0.9835 0.0000
In1 In 0.6914 0.6914 0.0000
Rh1 Rh 0.3251 0.3251 0.0000
```



[6]
Below is crystalline KHg14Bi at its relaxed geometry, with properties calculated at the PBE-GGA level.

The structure in CIF format:
```
data_KHg14Bi
_cell_length_a 7.4837
_cell_length_b 6.7786
_cell_length_c 11.0185
_cell_angle_alpha 90.00
_cell_angle_beta 90.00
_cell_angle_gamma 123.51
_space_group_name_H-M_alt 'P 1'
_space_group_IT_number 1
_space_group_name_Hall 'P 1'
loop_
_atom_site_label
_atom_site_type_symbol
_atom_site_fract_x
_atom_site_fract_y
_atom_site_fract_z
Bi1 Bi 0.7799 0.5599 0.5000
Hg1 Hg 0.8370 0.1502 0.7568
Hg2 Hg 0.3358 0.6716 0.2318
Hg3 Hg 0.3133 0.1502 0.7568
Hg4 Hg 0.1427 0.2854 0.0000
Hg5 Hg 0.8370 0.1502 0.2432
Hg6 Hg 0.3358 0.6716 0.7682
Hg7 Hg 0.8108 0.6216 0.7760
Hg8 Hg 0.3133 0.1502 0.2432
Hg9 Hg 0.6503 0.7715 0.0000
Hg10 Hg 0.6175 0.2349 0.0000
Hg11 Hg 0.6511 0.9168 0.5000
Hg12 Hg 0.2657 0.9168 0.5000
Hg13 Hg 0.8108 0.6216 0.2240
Hg14 Hg 0.1212 0.7715 0.0000
K1 K 0.1778 0.3557 0.5000
```



[7]
Below is crystalline La3HfAu at its relaxed geometry, with properties calculated at the PBE-GGA level.

The structure in CIF format:
```
data_La3HfAu
_cell_length_a 5.6853
_cell_length_b 5.6853
_cell_length_c 5.6853
_cell_angle_alpha 90.00
_cell_angle_beta 90.00
_cell_angle_gamma 90.00
_space_group_name_H-M_alt 'P 1'
_space_group_IT_number 1
_space_group_name_Hall 'P 1'
loop_
_atom_site_label
_atom_site_type_symbol
_atom_site_fract_x
_atom_site_fract_y
_atom_site_fract_z
Hf1 Hf 0.0000 0.0000 0.0000
Au1 Au 0.5000 0.5000 0.5000
La1 La 0.5000 0.0000 0.0000
La2 La 0.0000 0.5000 0.0000
La3 La 0.0000 0.0000 0.5000
```



[8]
Below is crystalline Zr2MoRh at its relaxed geometry, with properties calculated at the PBE-GGA level.

The structure in CIF format:
```
data_Zr2MoRh
_cell_length_a 4.3565
_cell_length_b 2.9773
_cell_length_c 5.7095
_cell_angle_alpha 81.77
_cell_angle_beta 90.00
_cell_angle_gamma 90.00
_space_group_name_H-M_alt 'P 1'
_space_group_IT_number 1
_space_group_name_Hall 'P 1'
loop_
_atom_site_label
_atom_site_type_symbol
_atom_site_fract_x
_atom_site_fract_y
_atom_site_fract_z
Rh1 Rh 0.5000 0.7500 0.7500
Zr1 Zr 0.0000 0.4849 0.4983
Zr2 Zr 0.0000 0.0151 0.0017
Mo1 Mo 0.5000 0.2500 0.2500
```



| no. | uncorrected energy (eV per cell) | formation enthalpy at 0 K (eV/atom) |
| --- | --- | --- |
| 1 | -32.2 | -0.03 |
| 2 | -23.2 | 0.32 |
| 3 | -54.9 | 0.20 |
| 4 | -35.4 | 0.59 |
| 5 | -10.5 | -0.02 |
| 6 | -9.8 | -0.04 |
| 7 | -25.5 | 0.50 |
| 8 | -36.0 | -0.17 |